Material: HoCoSi2Os
Method: DFT, PBE-GGA
State: optimized geometry

Values from the calculation:
Energy, eV/atom: -7.53
Symmetry: No. 119

```
5
Lattice="-2.008 2.008 4.865 2.008 -2.008 4.865 2.008 2.008 -4.865" Properties=species:S:1:pos:R:3 pbc="T T T"
Ho 0.000 0.000 0.000
Co 0.000 2.008 2.432
Si 0.000 0.000 3.635
Si 0.000 0.000 6.094
Os 2.008 0.000 2.432
```

=====

Material: HoCo5P3
Method: DFT, PBE-GGA
State: optimized geometry

Values from the calculation:
Energy, eV/atom: -7.10
Symmetry: No. 62

```
36
Lattice="11.696 0.000 0.000 0.000 3.634 0.000 0.000 0.000 10.262" Properties=species:S:1:pos:R:3 pbc="T T T"
Ho 2.370 0.908 0.850
Ho 3.478 2.725 5.981
Ho 8.218 0.908 4.281
Ho 9.325 2.725 9.412
Co 0.104 2.725 7.349
Co 0.145 2.725 0.954
Co 0.801 2.725 4.801
Co 2.066 0.908 7.992
Co 2.322 0.908 3.926
Co 3.526 2.725 9.057
Co 3.782 2.725 2.861
Co 5.047 0.908 9.932
Co 5.702 0.908 6.085
Co 5.743 0.908 2.218
Co 5.952 2.725 8.043
Co 5.993 2.725 4.177
Co 6.649 2.725 0.330
Co 7.914 0.908 7.401
Co 8.170 0.908 1.204
Co 9.374 2.725 6.335
Co 9.630 2.725 2.270
Co 10.895 0.908 5.460
Co 11.550 0.908 9.307
Co 11.591 0.908 2.913
P 1.277 2.725 9.219
P 1.312 0.908 5.971
P 1.517 2.725 2.773
P 4.331 0.908 7.904
P 4.536 2.725 0.840
P 4.571 0.908 4.088
P 7.125 2.725 6.174
P 7.160 0.908 9.422
P 7.365 2.725 2.358
P 10.179 0.908 7.488
P 10.384 2.725 4.291
P 10.419 0.908 1.043
```

=====

Material: HoCo4P3
Method: DFT, PBE-GGA
State: optimized geometry

Values from the calculation:
Energy, eV/atom: -6.63
Symmetry: No. 6

```
8
Lattice="5.137 0.000 0.000 0.000 3.571 0.000 -0.031 0.000 5.875" Properties=species:S:1:pos:R:3 pbc="T T T"
Ho 0.000 0.000 0.000
Co 1.341 0.000 3.583
Co 1.363 1.786 1.482
Co 3.767 1.786 1.478
Co 3.797 0.000 3.565
P -0.004 1.786 3.163
P 2.543 1.786 4.977
P 2.563 0.000 1.745
```

=====

Material: HoCo2SiP
Method: DFT, PBE-GGA
State: optimized geometry

Values from the calculation:
Energy, eV/atom: -6.88
Symmetry: No. 107

```
5
Lattice="-1.918 1.918 4.742 1.918 -1.918 4.742 1.918 1.918 -4.742" Properties=species:S:1:pos:R:3 pbc="T T T"
Ho 0.000 0.000 0.000
Co 1.918 0.000 2.334
Co 0.000 1.918 2.334
Si 0.000 0.000 3.540
P 0.000 0.000 5.928
```

=====

Material: HoCoPb
Method: DFT, PBE-GGA
State: optimized geometry

Values from the calculation:
Energy, eV/atom: -5.36
Symmetry: No. 189

```
9
Lattice="7.526 0.000 0.000 -3.763 6.518 0.000 0.000 0.000 3.764" Properties=species:S:1:pos:R:3 pbc="T T T"
Ho -2.242 3.883 0.000
Ho 1.521 2.635 0.000
Ho 4.484 0.000 0.000
Co 0.000 0.000 0.000
Co 0.000 4.345 1.882
Co 3.763 2.173 1.882
Pb -0.996 1.725 1.882
Pb 1.992 0.000 1.882
Pb 2.767 4.793 1.882
```

=====

Material: HoCoPb
Method: DFT, PBE-GGA
State: optimized geometry

Values from the calculation:
Energy, eV/atom: -5.26
Symmetry: No. 216

```
3
Lattice="0.000 3.233 3.233 3.233 0.000 3.233 3.233 3.233 0.000" Properties=species:S:1:pos:R:3 pbc="T T T"
Ho 0.000 0.000 0.000
Co 1.617 1.617 1.617
Pb 3.233 3.233 3.233
```

=====

Material: HoCoPb
Method: DFT, PBE-GGA
State: optimized geometry

Values from the calculation:
Energy, eV/atom: -4.56
Symmetry: No. 216

```
3
Lattice="0.000 3.383 3.383 3.383 0.000 3.383 3.383 3.383 0.000" Properties=species:S:1:pos:R:3 pbc="T T T"
Ho 0.000 0.000 0.000
Co 1.691 1.691 1.691
Pb 5.074 5.074 5.074
```

=====

Material: HoTmCo2Pb
Method: DFT, PBE-GGA
State: optimized geometry

Values from the calculation:
Energy, eV/atom: -5.75
Symmetry: No. 38

```
5
Lattice="3.818 0.000 0.000 0.000 1.905 7.030 0.000 -1.905 7.030" Properties=species:S:1:pos:R:3 pbc="T T T"
Ho 0.000 0.000 0.000
Tm 0.000 0.000 3.977
Co 1.909 0.000 6.110
Co 1.909 0.000 11.897
Pb 1.909 0.000 9.025
```